CsMnHg2Se4 | PBE-GGA | relaxed

```
CsMnHg2Se4
1.0
-3.069 -3.247 -5.756
-2.092 -5.543 4.242
-1.452 6.607 1.659
Se Hg Mn Cs
4 2 1 1
direct
0.168 0.168 0.711
0.543 0.543 0.711
0.832 0.457 0.289
0.457 0.832 0.289
0.250 0.750 0.500
0.750 0.250 0.500
0.500 0.500 0.000
0.000 0.000 0.000
```

Properties
- space-group type = I-42m (121)
- E_form (uncorrected) (eV per atom) = -0.38
- DOS(E_F) (states/eV per cell) = 3.782

=====

CsMnHgTe2 | PBE-GGA | relaxed

```
CsMnHgTe2
1.0
5.461 0.000 0.000
0.000 5.461 0.000
0.000 0.000 5.768
Te Hg Mn Cs
2 1 1 1
direct
0.500 0.000 0.000
0.000 0.500 0.000
0.000 0.000 0.500
0.000 0.000 0.000
0.500 0.500 0.500
```

Properties
- space-group type = P4/mmm (123)
- E_form (uncorrected) (eV per atom) = -0.33
- DOS(E_F) (states/eV per cell) = 2.146